*one*
First-principles (PBE-GGA) data for a relaxed Li2UCl8 crystal, as listed in the Alexandria database.

Lattice parameters (Å, degrees): 11.5170 9.8559 5.9293 90.00 91.29 90.00
Closest atoms and distances in Å follow each position.
Space group C2/m (No. 12)
Unique sites:
Li  0.0878  0.0000  0.1706 (multiplicity 4)  2 Cl 2.27-2.31
U  0.0000  0.5000  0.5000 (multiplicity 2)  6 Cl 2.46-2.50
Cl  0.0885  0.3220  0.2680 (multiplicity 8)  1 U 2.46
Cl  0.1073  0.0000  0.7828 (multiplicity 4)  2 Li 2.27-2.31
Cl  0.1774  0.5000  0.7500 (multiplicity 4)  1 U 2.50, 1 Li 2.73

Output
ρ: 2.64 g/cm³
M_tot: 0.03 μB per atom



*two*
First-principles (PBE-GGA) data for a relaxed Li2UCl8 crystal, as listed in the Alexandria database.

Lattice parameters (Å, degrees): 7.1538 11.5591 7.1857 90.00 103.64 90.00
Closest atoms and distances in Å follow each position.
Space group C2/m (No. 12)
Unique sites:
Li  0.0000  0.2475  0.0000 (multiplicity 4)  4 Cl 2.47-2.51
U  0.0000  0.0000  0.5000 (multiplicity 2)  4 Cl 2.46-2.55
Cl  0.0000  0.2208  0.5000 (multiplicity 4)  1 U 2.55
Cl  0.2160  0.1271  0.8580 (multiplicity 8)  2 Li 2.47-2.51
Cl  0.2243  0.5000  0.6493 (multiplicity 4)  1 U 2.46

Output
ρ: 3.08 g/cm³
M_tot: 0.16 μB per atom



What are the relative energies? In meV/atom: *one* 0; *two* 153.



*one*
First-principles (PBE-GGA) data for a relaxed LiUCl4 crystal, as listed in the Alexandria database.

Lattice parameters (Å, degrees): 14.6651 3.8888 6.8916 90.00 116.08 90.00
Closest atoms and distances in Å follow each position.
Space group C2/m (No. 12)
Unique sites:
Li  0.0000  0.0000  0.0000 (multiplicity 2)  6 Cl 2.61-2.74
U  0.0000  0.5000  0.5000 (multiplicity 2)  6 Cl 2.69-2.77
Cl  0.1020  0.5000  0.2570 (multiplicity 4)  2 Li 2.61, 1 U 2.69
Cl  0.1188  0.0000  0.7850 (multiplicity 4)  1 Li 2.74, 2 U 2.77

Output
ρ: 3.64 g/cm³
M_tot: 0.50 μB per atom



*two*
First-principles (PBE-GGA) data for a relaxed LiUCl4 crystal, as listed in the Alexandria database.

Lattice parameters (Å, degrees): 9.2835 13.5564 6.5819 90.00 134.73 90.00
Closest atoms and distances in Å follow each position.
Space group C2/c (No. 15)
Unique sites:
Li  0.0000  0.1232  0.2500 (multiplicity 4)  4 Cl 2.43
U  0.0000  0.3748  0.7500 (multiplicity 4)  8 Cl 2.86-2.91
Cl  0.1712  0.2099  0.1456 (multiplicity 8)  1 Li 2.43
Cl  0.2242  0.4601  0.3000 (multiplicity 8)  1 Li 2.43

Output
ρ: 4.37 g/cm³
M_tot: 0.50 μB per atom



What are the relative energies? In meV/atom: *one* 52; *two* 0.